Entry 1:
The following is a DFT calculation (PBE) of TlP2W after structural relaxation.

Calculated values
**V**: 166 Å³/cell
**Excess energy over the best structure of this formula in the dataset**: 0.35 eV/f.u.

abc: 3.0985 3.3542 15.9750
angles: 90.00 90.00 90.00
Closest atoms and distances in Å follow each position.
Space group Imm2 (No. 44)
Inequivalent atoms, fractional coordinates:
Tl 0.0000 0.0000 0.0000 [2 per cell]  4 Tl 3.10-3.35, 6 P 3.21-3.29
P 0.0000 0.0000 0.6485 [2 per cell]  2 W 2.39
P 0.0000 0.5000 0.8284 [2 per cell]  4 W 2.52
W 0.0000 0.5000 0.2623 [2 per cell]  6 P 2.39-2.52

=====

Entry 2:
The following is a DFT calculation (PBE) of TlP2W after structural relaxation.

Calculated values
**V**: 160 Å³/cell
**Excess energy over the best structure of this formula in the dataset**: 1.26 eV/f.u.

abc: 3.3985 4.9739 9.4806
angles: 90.00 90.00 90.00
Closest atoms and distances in Å follow each position.
Space group Cmmm (No. 65)
Inequivalent atoms, fractional coordinates:
Tl 0.0000 0.0000 0.0000 [2 per cell]  4 Tl 3.01
P 0.0000 0.5000 0.3141 [4 per cell]  2 W 2.45
W 0.0000 0.0000 0.5000 [2 per cell]  4 P 2.45

=====

Total magnetization? In order: 0.00 0.00 μB per cell.
Energy of formation from the pure elements? In order: 0.084 0.312 eV per atom.